## ZnOs (PBE)

Data for an optimized crystal structure of ZnOs.

Lattice parameters (Å, degrees): 7.654 7.654 4.329 90.00 90.00 90.00
Space group I4/mmm (No. 139)
Asymmetric unit:
Zn: 0.000 0.278 0.000 (multiplicity 8)
Os: 0.164 0.164 0.500 (multiplicity 8)

Properties
The formation energy from the elements comes out at 30.0 kJ/mol of atoms. For the density of states at the Fermi level, the calculation gives 12.57 states/eV per cell. The calculation puts the uncorrected energy at -5.941 eV/atom. The magnetic moment comes out at 0.00 μB per cell.